Material: CdOs2Br
Method: DFT, PBE-GGA
State: optimized geometry

a b c (Å): 4.7908 4.7908 4.7908
angles (deg): 125.96 125.96 79.96
Closest atoms and distances in Å follow each position.
Sites, in units of the cell vectors:
Os 0.0000 0.0000 0.0000  4 Os 2.85, 4 Cd 2.85, 4 Br 3.08
Os 0.2500 0.7500 0.5000  4 Br 2.85, 4 Os 2.85, 4 Cd 3.08
Br 0.5000 0.5000 0.0000  4 Cd 2.85, 8 Os 2.85-3.08
Cd 0.7500 0.2500 0.5000  4 Br 2.85, 8 Os 2.85-3.08

Summary:
- Total magnetic moment: 0.641 μB/cell
- ΔE to the lowest computed polymorph: 982 meV per atom
- N(E_F): 5.7 states/eV/cell
- Energy relative to the elements, uncorrected: 5.67 eV/f.u.
- Electronic total energy: -19.38 eV for the cell shown

Material: ReMo2Se
Method: DFT, PBE-GGA
State: optimized geometry

a b c (Å): 5.3019 5.3019 5.3019
angles (deg): 146.89 129.92 61.36
Closest atoms and distances in Å follow each position.
Sites, in units of the cell vectors:
Mo 0.0277 0.0277 0.0000  2 Se 2.56, 4 Re 2.74
Mo 0.7379 0.2379 0.5000  4 Se 2.71, 2 Re 2.79, 4 Mo 2.95-3.02
Re 0.4804 0.4804 0.0000  2 Se 2.56, 6 Mo 2.74-2.79
Se 0.2541 0.7541 0.5000  2 Re 2.56, 6 Mo 2.56-2.71

Summary:
- Total magnetic moment: 0.000 μB/cell
- N(E_F): 2.8 states/eV/cell
- Energy relative to the elements, uncorrected: 1.02 eV/f.u.
- Electronic total energy: -36.57 eV for the cell shown

Material: Ce4AlGa12
Method: DFT, PBE-GGA
State: optimized geometry

a b c (Å): 7.6280 7.6280 7.6280
angles (deg): 109.47 109.47 109.47
Closest atoms and distances in Å follow each position.
Sites, in units of the cell vectors:
Ce 0.0000 0.0000 0.5000  12 Ga 3.11-3.16
Ce 0.5000 0.0000 0.0000  12 Ga 3.11-3.16
Ce 0.5000 0.5000 0.5000  12 Ga 3.11-3.16
Ce 0.0000 0.5000 0.0000  12 Ga 3.11-3.16
Al 0.0000 0.0000 0.0000  6 Ga 2.71
Ga 0.0000 0.3078 0.3078  1 Al 2.71, 4 Ga 2.78
Ga 0.0000 0.6922 0.6922  1 Al 2.71, 4 Ga 2.78
Ga 0.6922 0.6922 0.0000  1 Al 2.71, 4 Ga 2.78
Ga 0.3078 0.3078 0.0000  1 Al 2.71, 4 Ga 2.78
Ga 0.3078 0.0000 0.3078  1 Al 2.71, 4 Ga 2.78
Ga 0.6922 0.0000 0.6922  1 Al 2.71, 4 Ga 2.78
Ga 0.5000 0.2500 0.7500  4 Ga 2.78
Ga 0.5000 0.7500 0.2500  4 Ga 2.78
Ga 0.7500 0.2500 0.5000  4 Ga 2.78
Ga 0.2500 0.7500 0.5000  4 Ga 2.78
Ga 0.7500 0.5000 0.2500  4 Ga 2.78
Ga 0.2500 0.5000 0.7500  4 Ga 2.78

Summary:
- Total magnetic moment: 1.894 μB/cell
- N(E_F): 21.2 states/eV/cell
- Electronic total energy: -72.28 eV for the cell shown

Material: MnCrGaCu
Method: DFT, PBE-GGA
State: optimized geometry

a b c (Å): 4.2119 4.2119 4.2119
angles (deg): 60.00 60.00 60.00
Closest atoms and distances in Å follow each position.
Sites, in units of the cell vectors:
Cr 0.7500 0.7500 0.7500  4 Mn 2.58, 4 Ga 2.58
Mn 0.5000 0.5000 0.5000  4 Cr 2.58, 4 Cu 2.58
Cu 0.2500 0.2500 0.2500  4 Mn 2.58, 4 Ga 2.58
Ga 0.0000 0.0000 0.0000  4 Cr 2.58, 4 Cu 2.58

Summary:
- Total magnetic moment: 0.906 μB/cell
- N(E_F): 3.0 states/eV/cell
- Electronic total energy: -25.79 eV for the cell shown

Material: Ti2SbO
Method: DFT, PBE-GGA
State: optimized geometry

a b c (Å): 4.4723 4.4723 4.4723
angles (deg): 60.00 60.00 60.00
Closest atoms and distances in Å follow each position.
Sites, in units of the cell vectors:
Sb 0.5000 0.5000 0.5000  8 Ti 2.74
O 0.0000 0.0000 0.0000  8 Ti 2.74
Ti 0.2500 0.2500 0.2500  4 O 2.74, 4 Sb 2.74
Ti 0.7500 0.7500 0.7500  4 Sb 2.74, 4 O 2.74

Summary:
- Total magnetic moment: 0.000 μB/cell
- ΔE to the lowest computed polymorph: 773 meV per atom
- N(E_F): 2.6 states/eV/cell
- Energy relative to the elements, uncorrected: -1.98 eV/f.u.
- Electronic total energy: -26.86 eV for the cell shown

Material: Th4Ge3Bi
Method: DFT, PBE-GGA
State: optimized geometry

a b c (Å): 4.3570 6.2090 8.8093
angles (deg): 90.00 90.00 90.00
Closest atoms and distances in Å follow each position.
Sites, in units of the cell vectors:
Ge 0.5000 0.5000 0.2497  6 Th 3.10-3.11
Ge 0.0000 0.0000 0.5000  6 Th 2.98-3.10
Ge 0.5000 0.5000 0.7503  6 Th 3.10-3.11
Bi 0.0000 0.0000 0.0000  6 Th 3.10-3.22
Th 0.0000 0.5000 0.5000  6 Ge 3.10
Th 0.5000 0.0000 0.7303  4 Ge 2.98-3.11, 2 Bi 3.22
Th 0.0000 0.5000 0.0000  4 Ge 3.10, 2 Bi 3.10
Th 0.5000 0.0000 0.2697  4 Ge 2.98-3.11, 2 Bi 3.22

Summary:
- Total magnetic moment: 0.000 μB/cell
- N(E_F): 3.9 states/eV/cell
- Electronic total energy: -53.16 eV for the cell shown

Material: Mg2AgRu
Method: DFT, PBE-GGA
State: optimized geometry

a b c (Å): 5.1757 5.1757 5.1757
angles (deg): 135.32 135.32 65.03
Closest atoms and distances in Å follow each position.
Sites, in units of the cell vectors:
Ag 0.7500 0.2500 0.5000  8 Mg 2.78-2.94, 4 Ru 2.94
Mg 0.0000 0.0000 0.0000  4 Ru 2.78, 4 Mg 2.94, 4 Ag 2.94
Mg 0.2500 0.7500 0.5000  4 Ag 2.78, 4 Ru 2.94, 4 Mg 2.94
Ru 0.5000 0.5000 0.0000  8 Mg 2.78-2.94, 4 Ag 2.94

Summary:
- Total magnetic moment: 0.460 μB/cell
- N(E_F): 2.9 states/eV/cell
- Electronic total energy: -15.09 eV for the cell shown

Material: SrCa2N
Method: DFT, PBE-GGA
State: optimized geometry

a b c (Å): 7.4480 7.4480 7.4451
angles (deg): 59.99 59.99 90.00
Closest atoms and distances in Å follow each position.
Sites, in units of the cell vectors:
Sr 0.0000 0.0000 0.0000  12 Ca 4.36-4.37, 4 Sr 4.56, 4 N 4.56
Sr 0.7500 0.2500 0.5000  12 Ca 4.36-4.37, 4 Sr 4.56, 4 N 4.56
Ca 0.3743 0.1250 0.2500  2 N 2.28
Ca 0.3757 0.6250 0.2500  2 N 2.28
Ca 0.3750 0.6257 0.7500  2 N 2.28
Ca 0.8750 0.6243 0.7500  2 N 2.28
N 0.5000 0.5000 0.0000  4 Ca 2.28
N 0.2500 0.7500 0.5000  4 Ca 2.28

Summary:
- Total magnetic moment: 0.000 μB/cell
- N(E_F): 5.6 states/eV/cell
- Energy relative to the elements, uncorrected: -1.26 eV/f.u.
- Electronic total energy: -30.55 eV for the cell shown

Material: Nd7SbS5
Method: DFT, PBE-GGA
State: optimized geometry

a b c (Å): 4.1366 6.9953 24.3951
angles (deg): 89.99 90.00 107.25
Closest atoms and distances in Å follow each position.
Sites, in units of the cell vectors:
Nd 0.4786 0.9573 0.2500  2 S 2.80, 2 Sb 3.13
Nd 0.5219 0.0438 0.7500  2 S 2.80, 2 Sb 3.13-3.14
Nd 0.6365 0.2731 0.0372  6 S 2.81-2.90
Nd 0.3641 0.7281 0.9629  6 S 2.81-2.90
Nd 0.3640 0.7279 0.5371  6 S 2.81-2.90
Nd 0.6366 0.2732 0.4628  6 S 2.81-2.90
Nd 0.1800 0.3601 0.1730  3 S 2.82-2.85
Nd 0.8206 0.6411 0.8271  3 S 2.82-2.85
Nd 0.8203 0.6406 0.6730  3 S 2.82-2.85
Nd 0.1802 0.3605 0.3270  3 S 2.82-2.85
Nd 0.9088 0.8175 0.1112  5 S 2.85-2.98
Nd 0.0918 0.1837 0.8888  5 S 2.85-2.98
Nd 0.0915 0.1832 0.6112  5 S 2.85-2.97
Nd 0.9090 0.8178 0.3888  5 S 2.85-2.97
Sb 0.8025 0.6049 0.2499  6 Nd 3.13-3.24
Sb 0.1981 0.3962 0.7501  6 Nd 3.13-3.24
S 0.0003 0.0006 0.0000  6 Nd 2.90-2.98
S 0.7258 0.4514 0.9303  6 Nd 2.82-2.92
S 0.2748 0.5498 0.0697  6 Nd 2.82-2.92
S 0.5458 0.0916 0.3588  6 Nd 2.80-2.86
S 0.4547 0.9095 0.6412  6 Nd 2.80-2.86
S 0.0003 0.0005 0.5000  6 Nd 2.90-2.97
S 0.2749 0.5499 0.4303  6 Nd 2.82-2.92
S 0.7256 0.4511 0.5697  6 Nd 2.82-2.92
S 0.4550 0.9100 0.8589  6 Nd 2.80-2.86
S 0.5456 0.0912 0.1412  6 Nd 2.80-2.86

Summary:
- Total magnetic moment: 0.013 μB/cell
- N(E_F): 15.2 states/eV/cell
- Energy relative to the elements, uncorrected: -22.69 eV/f.u.
- Electronic total energy: -161.66 eV for the cell shown

Material: KDy4PuS8
Method: DFT, PBE-GGA
State: optimized geometry

a b c (Å): 8.2021 8.2021 8.2756
angles (deg): 60.29 60.29 60.00
Closest atoms and distances in Å follow each position.
Sites, in units of the cell vectors:
K 0.3746 0.3746 0.8762  4 S 2.87
Dy 0.6258 0.6258 0.1227  4 S 2.66-2.68
Dy 0.0048 0.4879 0.5025  6 S 2.67-2.88
Dy 0.4879 0.0048 0.5025  6 S 2.67-2.88
Dy 0.0048 0.0048 0.5025  6 S 2.67-2.88
Pu 0.0033 0.0033 0.9902  6 S 2.70-2.91
S 0.2341 0.8017 0.7300  2 Dy 2.67, 1 Pu 2.70, 1 K 2.87
S 0.8017 0.2341 0.7300  2 Dy 2.67, 1 Pu 2.70, 1 K 2.87
S 0.2341 0.2341 0.7300  2 Dy 2.67, 1 Pu 2.70, 1 K 2.87
S 0.2338 0.2338 0.2987  3 Dy 2.67, 1 K 2.87
S 0.7542 0.2292 0.2624  3 Dy 2.66-2.86, 1 Pu 2.91
S 0.2292 0.7542 0.2624  3 Dy 2.66-2.86, 1 Pu 2.91
S 0.7542 0.7542 0.2624  3 Dy 2.66-2.86, 1 Pu 2.91
S 0.7576 0.7576 0.7273  4 Dy 2.68-2.88

Summary:
- Total magnetic moment: 5.000 μB/cell
- N(E_F): 8.3 states/eV/cell
- Energy relative to the elements, uncorrected: -25.78 eV/f.u.
- Electronic total energy: -92.64 eV for the cell shown

Material: TiSb
Method: DFT, PBE-GGA
State: optimized geometry

a b c (Å): 6.3061 6.3061 6.3061
angles (deg): 90.00 90.00 90.00
Closest atoms and distances in Å follow each position.
Sites, in units of the cell vectors:
Ti 0.2500 0.2500 0.2500  4 Sb 2.73
Ti 0.2500 0.7500 0.7500  4 Sb 2.73
Ti 0.7500 0.2500 0.7500  4 Sb 2.73
Ti 0.7500 0.7500 0.2500  4 Sb 2.73
Sb 0.0000 0.0000 0.0000  4 Ti 2.73
Sb 0.0000 0.5000 0.5000  4 Ti 2.73
Sb 0.5000 0.0000 0.5000  4 Ti 2.73
Sb 0.5000 0.5000 0.0000  4 Ti 2.73

Summary:
- Total magnetic moment: 3.929 μB/cell
- N(E_F): 12.6 states/eV/cell
- Energy relative to the elements, uncorrected: 0.51 eV/f.u.
- Electronic total energy: -46.03 eV for the cell shown

Material: HfCd3Ag
Method: DFT, PBE-GGA
State: optimized geometry

a b c (Å): 5.5897 5.5897 5.5897
angles (deg): 90.00 90.00 90.00
Closest atoms and distances in Å follow each position.
Sites, in units of the cell vectors:
Hf 0.0000 0.0000 0.0000  6 Cd 2.79
Ag 0.5000 0.5000 0.5000  12 Cd 3.95
Cd 0.0000 0.5000 0.0000  2 Hf 2.79
Cd 0.0000 0.0000 0.5000  2 Hf 2.79
Cd 0.5000 0.0000 0.0000  2 Hf 2.79

Summary:
- Total magnetic moment: 0.830 μB/cell
- ΔE to the lowest computed polymorph: 1066 meV per atom
- N(E_F): 6.6 states/eV/cell
- Electronic total energy: -10.38 eV for the cell shown